Version P
Material: P2OsAu
Method: DFT, SCAN
State: single point on PBEsol structure

## Properties
* space group: No. 99
* density: 12.2 g cm⁻³
* M_tot: 0.000 μB/atom

abc: 2.865 2.865 7.447
angles: 90.00 90.00 90.00
Element x y z (fractional)
P  0.000  0.000  0.000
P  0.500  0.500  0.306
Os  0.500  0.500  0.834
Au  0.000  0.000  0.549



Version Q
Material: P2OsAu
Method: DFT, SCAN
State: single point on PBEsol structure

## Properties
* space group: No. 122
* density: 9.7 g cm⁻³
* M_tot: 0.000 μB/atom

abc: 6.417 6.417 6.417
angles: 129.42 129.42 74.33
Element x y z (fractional)
P  0.097  0.625  0.972
P  0.375  0.347  0.472
P  0.653  0.125  0.028
P  0.875  0.903  0.528
Os  0.000  0.000  0.000
Os  0.750  0.250  0.500
Au  0.250  0.750  0.500
Au  0.500  0.500  0.000



Most stable structure - version Q; separation to the second - 0.455 eV/atom.



Version P
Material: OsPb2Au
Method: DFT, SCAN
State: single point on PBEsol structure

## Properties
* space group: No. 12
* density: 16.5 g cm⁻³
* M_tot: 0.000 μB/atom

abc: 5.006 5.006 3.216
angles: 90.14 90.14 89.97
Element x y z (fractional)
Os  0.000  0.000  0.000
Pb  0.000  0.500  0.500
Pb  0.500  0.000  0.500
Au  0.500  0.500  0.000



Version Q
Material: OsPb2Au
Method: DFT, SCAN
State: single point on PBEsol structure

## Properties
* space group: No. 166
* density: 16.1 g cm⁻³
* M_tot: 0.000 μB/atom

abc: 9.004 9.004 9.004
angles: 21.07 21.07 21.07
Element x y z (fractional)
Os  0.000  0.000  0.000
Pb  0.255  0.255  0.255
Pb  0.745  0.745  0.745
Au  0.500  0.500  0.500



Most stable structure - version Q; separation to the second - 0.121 eV/atom.



Version P
Material: OsPt2Au
Method: DFT, SCAN
State: single point on PBEsol structure

## Properties
* space group: No. 119
* density: 21.4 g cm⁻³
* M_tot: 0.000 μB/atom

abc: 4.763 4.763 4.763
angles: 130.92 130.92 71.94
Element x y z (fractional)
Os  0.000  0.000  0.000
Pt  0.500  0.500  0.000
Pt  0.750  0.250  0.500
Au  0.250  0.750  0.500



Version Q
Material: OsPt2Au
Method: DFT, SCAN
State: single point on PBEsol structure

## Properties
* space group: No. 8
* density: 21.3 g cm⁻³
* M_tot: 0.000 μB/atom

abc: 4.768 4.768 4.880
angles: 98.92 98.92 33.58
Element x y z (fractional)
Os  0.000  0.000  0.000
Pt  0.260  0.260  0.783
Pt  0.508  0.508  0.519
Au  0.751  0.751  0.271



Version R
Material: OsPt2Au
Method: DFT, SCAN
State: single point on PBEsol structure

## Properties
* space group: No. 65
* density: 20.9 g cm⁻³
* M_tot: 0.210 μB/atom

abc: 2.731 2.731 9.586
angles: 90.00 90.00 120.34
Element x y z (fractional)
Os  0.000  0.000  0.000
Pt  0.500  0.500  0.241
Pt  0.500  0.500  0.759
Au  0.000  0.000  0.500



Most stable structure - version R; separation to the second - 0.018 eV/atom.



Version P
Material: OsPtAu
Method: DFT, SCAN
State: single point on PBEsol structure

## Properties
* space group: No. 44
* density: 21.2 g cm⁻³
* M_tot: 0.001 μB/atom

abc: 4.855 4.855 4.855
angles: 147.04 132.45 59.07
Element x y z (fractional)
Os  0.000  0.000  0.000
Pt  0.655  0.655  0.000
Au  0.330  0.330  0.000



Version Q
Material: OsPtAu
Method: DFT, SCAN
State: single point on PBEsol structure

## Properties
* space group: No. 156
* density: 20.9 g cm⁻³
* M_tot: 0.443 μB/atom

abc: 4.483 4.483 2.664
angles: 90.00 90.00 120.00
Element x y z (fractional)
Os  0.000  0.000  0.000
Pt  0.333  0.667  0.548
Au  0.667  0.333  0.371



Most stable structure - version P; separation to the second - 0.151 eV/atom.